1.
# TlCrBRh2, optimized geometry, DFT PBE-GGA
data_TlCrBRh2
_chemical_formula_sum 'Tl1 Cr1 B1 Rh2'
_cell_length_a 4.432
_cell_length_b 5.124
_cell_length_c 4.432
_cell_angle_alpha 90.00
_cell_angle_beta 90.00
_cell_angle_gamma 90.00
_symmetry_space_group_name_H-M 'P 1'
_symmetry_Int_Tables_number 1
loop_
_symmetry_equiv_pos_as_xyz
'x,y,z'
loop_
_atom_site_label
_atom_site_type_symbol
_atom_site_fract_x
_atom_site_fract_y
_atom_site_fract_z
Tl1 Tl 0.000 0.500 0.000
B1 B 0.500 0.500 0.500
Rh1 Rh 0.000 0.000 0.500
Cr1 Cr 0.000 0.000 0.000
Rh2 Rh 0.500 0.000 0.000
# Calculated volume: 20.1 Å³/atom
# Density of states at the Fermi level: 5.92 states/eV/cell
# Energy relative to the elements: 1691 meV per atom
# Electronic total energy: -4.98 eV per atom

***

2.
# Tb6SiTe3As2, optimized geometry, DFT PBE-GGA
data_Tb6SiTe3As2
_chemical_formula_sum 'Tb6 Si1 Te3 As2'
_cell_length_a 4.223
_cell_length_b 8.617
_cell_length_c 9.603
_cell_angle_alpha 104.52
_cell_angle_beta 102.70
_cell_angle_gamma 90.00
_symmetry_space_group_name_H-M 'P 1'
_symmetry_Int_Tables_number 1
loop_
_symmetry_equiv_pos_as_xyz
'x,y,z'
loop_
_atom_site_label
_atom_site_type_symbol
_atom_site_fract_x
_atom_site_fract_y
_atom_site_fract_z
Tb1 Tb 0.005 0.229 0.010
Te1 Te 0.500 0.500 0.000
Tb2 Tb 0.673 0.567 0.346
Te2 Te 0.832 0.167 0.663
Tb3 Tb 0.995 0.771 0.990
Si1 Si 0.500 0.000 0.000
Tb4 Tb 0.343 0.903 0.686
As1 As 0.833 0.666 0.666
Tb5 Tb 0.327 0.433 0.654
Tb6 Tb 0.657 0.097 0.314
As2 As 0.167 0.334 0.334
Te3 Te 0.168 0.833 0.337
# Raw formation energy: -1.3909 eV per atom
# Calculated volume: 27.5 Å³/atom
# Density of states at the Fermi level: 3.89 states/eV/cell
# Electronic total energy: -5.72 eV per atom

***

3.
# SmAs2RuRh, optimized geometry, DFT PBE-GGA
data_SmAs2RuRh
_chemical_formula_sum 'Sm1 As2 Ru1 Rh1'
_cell_length_a 4.137
_cell_length_b 4.137
_cell_length_c 6.045
_cell_angle_alpha 110.01
_cell_angle_beta 110.01
_cell_angle_gamma 90.00
_symmetry_space_group_name_H-M 'P 1'
_symmetry_Int_Tables_number 1
loop_
_symmetry_equiv_pos_as_xyz
'x,y,z'
loop_
_atom_site_label
_atom_site_type_symbol
_atom_site_fract_x
_atom_site_fract_y
_atom_site_fract_z
Rh1 Rh 0.250 0.750 0.500
As1 As 0.623 0.623 0.246
As2 As 0.377 0.377 0.754
Sm1 Sm 0.000 0.000 0.000
Ru1 Ru 0.750 0.250 0.500
# Calculated volume: 18.1 Å³/atom
# Density of states at the Fermi level: 2.49 states/eV/cell
# Energy relative to the elements: -788 meV per atom
# Electronic total energy: -6.92 eV per atom

***

4.
# Er5Ru4Pt, optimized geometry, DFT PBE-GGA
data_Er5Ru4Pt
_chemical_formula_sum 'Er5 Ru4 Pt1'
_cell_length_a 3.403
_cell_length_b 3.403
_cell_length_c 16.760
_cell_angle_alpha 90.00
_cell_angle_beta 90.00
_cell_angle_gamma 90.00
_symmetry_space_group_name_H-M 'P 1'
_symmetry_Int_Tables_number 1
loop_
_symmetry_equiv_pos_as_xyz
'x,y,z'
loop_
_atom_site_label
_atom_site_type_symbol
_atom_site_fract_x
_atom_site_fract_y
_atom_site_fract_z
Er1 Er 0.500 0.500 0.500
Er2 Er 0.500 0.500 0.301
Er3 Er 0.500 0.500 0.699
Er4 Er 0.500 0.500 0.103
Ru1 Ru 0.000 0.000 0.801
Pt1 Pt 0.000 0.000 0.000
Ru2 Ru 0.000 0.000 0.400
Ru3 Ru 0.000 0.000 0.199
Er5 Er 0.500 0.500 0.897
Ru4 Ru 0.000 0.000 0.600
# Calculated volume: 19.4 Å³/atom
# Density of states at the Fermi level: 7.41 states/eV/cell
# Energy relative to the elements: -596 meV per atom
# Electronic total energy: -7.19 eV per atom

***

5.
# TaCuBr2, optimized geometry, DFT PBE-GGA
data_TaCuBr2
_chemical_formula_sum 'Ta1 Cu1 Br2'
_cell_length_a 8.351
_cell_length_b 8.351
_cell_length_c 8.351
_cell_angle_alpha 158.38
_cell_angle_beta 149.07
_cell_angle_gamma 38.05
_symmetry_space_group_name_H-M 'P 1'
_symmetry_Int_Tables_number 1
loop_
_symmetry_equiv_pos_as_xyz
'x,y,z'
loop_
_atom_site_label
_atom_site_type_symbol
_atom_site_fract_x
_atom_site_fract_y
_atom_site_fract_z
Ta1 Ta 0.250 0.750 0.500
Cu1 Cu 0.750 0.250 0.500
Br1 Br 0.386 0.386 0.000
Br2 Br 0.114 0.114 0.000
# Raw formation energy: -0.0413 eV per atom
# Calculated volume: 27.5 Å³/atom
# Density of states at the Fermi level: 1.64 states/eV/cell
# Electronic total energy: -4.86 eV per atom

***

6.
# Er5Tm2Sc, optimized geometry, DFT PBE-GGA
data_Er5Tm2Sc
_chemical_formula_sum 'Er5 Tm2 Sc1'
_cell_length_a 7.087
_cell_length_b 7.086
_cell_length_c 6.546
_cell_angle_alpha 105.68
_cell_angle_beta 105.69
_cell_angle_gamma 120.04
_symmetry_space_group_name_H-M 'P 1'
_symmetry_Int_Tables_number 1
loop_
_symmetry_equiv_pos_as_xyz
'x,y,z'
loop_
_atom_site_label
_atom_site_type_symbol
_atom_site_fract_x
_atom_site_fract_y
_atom_site_fract_z
Tm1 Tm 0.231 0.817 0.493
Er1 Er 0.237 0.319 0.500
Er2 Er 0.321 0.738 0.000
Er3 Er 0.737 0.819 0.500
Er4 Er 0.817 0.234 0.000
Sc1 Sc 0.820 0.736 0.000
Tm2 Tm 0.739 0.324 0.507
Er5 Er 0.321 0.235 0.000
# Calculated volume: 29.9 Å³/atom
# Density of states at the Fermi level: 13.70 states/eV/cell
# Energy relative to the elements: 6 meV per atom
# Electronic total energy: -4.76 eV per atom

***

7.
# AgAs2Se, optimized geometry, DFT PBE-GGA
data_AgAs2Se
_chemical_formula_sum 'Ag1 As2 Se1'
_cell_length_a 10.835
_cell_length_b 10.835
_cell_length_c 10.835
_cell_angle_alpha 15.73
_cell_angle_beta 15.73
_cell_angle_gamma 15.73
_symmetry_space_group_name_H-M 'P 1'
_symmetry_Int_Tables_number 1
loop_
_symmetry_equiv_pos_as_xyz
'x,y,z'
loop_
_atom_site_label
_atom_site_type_symbol
_atom_site_fract_x
_atom_site_fract_y
_atom_site_fract_z
Se1 Se 0.491 0.491 0.491
As1 As 0.262 0.262 0.262
Ag1 Ag 0.746 0.746 0.746
As2 As 0.001 0.001 0.001
# Raw formation energy: 0.3756 eV per atom
# Calculated volume: 20.4 Å³/atom
# Density of states at the Fermi level: 1.68 states/eV/cell
# Electronic total energy: -3.53 eV per atom

***

8.
# ErP3Ir6, optimized geometry, DFT PBE-GGA
data_ErP3Ir6
_chemical_formula_sum 'Er1 P3 Ir6'
_cell_length_a 5.483
_cell_length_b 5.622
_cell_length_c 6.522
_cell_angle_alpha 93.66
_cell_angle_beta 109.38
_cell_angle_gamma 120.30
_symmetry_space_group_name_H-M 'P 1'
_symmetry_Int_Tables_number 1
loop_
_symmetry_equiv_pos_as_xyz
'x,y,z'
loop_
_atom_site_label
_atom_site_type_symbol
_atom_site_fract_x
_atom_site_fract_y
_atom_site_fract_z
Er1 Er 0.911 0.997 0.851
Ir1 Ir 0.311 0.457 0.633
Ir2 Ir 0.572 0.469 0.289
P1 P 0.368 0.632 0.987
Ir3 Ir 0.852 0.459 0.737
P2 P 0.196 0.073 0.341
P3 P 0.622 0.286 0.989
Ir4 Ir 0.740 0.062 0.267
Ir5 Ir 0.284 0.931 0.662
Ir6 Ir 0.143 0.634 0.243
# Calculated volume: 15.7 Å³/atom
# Density of states at the Fermi level: 4.14 states/eV/cell
# Energy relative to the elements: -517 meV per atom
# Electronic total energy: -7.91 eV per atom